{"formula": "RbMgBiS3", "functional": "PBE", "state": "relaxed", "lattice": [[9.410, 0.000, 0.000], [0.000, 4.170, 0.000], [-2.610, 0.000, 9.435]], "species": ["Rb", "Rb", "Mg", "Mg", "Bi", "Bi", "S", "S", "S", "S", "S", "S"], "frac_coords": [[0.190, 0.250, 0.223], [0.810, 0.750, 0.777], [0.093, 0.250, 0.604], [0.907, 0.750, 0.396], [0.344, 0.750, 0.865], [0.656, 0.250, 0.135], [0.140, 0.250, 0.862], [0.177, 0.750, 0.516], [0.441, 0.750, 0.143], [0.559, 0.250, 0.857], [0.823, 0.250, 0.484], [0.860, 0.750, 0.138]], "spacegroup": "P2_1/m, No. 11", "magnetic_moment_mub_per_cell": 0.000, "raw_formation_energy_ev_per_atom": -0.973}

{"formula": "RbMg4BiSb2", "functional": "PBE", "state": "relaxed", "lattice": [[4.781, 0.000, 0.000], [0.000, 4.781, 0.000], [0.000, 0.000, 11.489]], "species": ["Rb", "Mg", "Mg", "Mg", "Mg", "Bi", "Sb", "Sb"], "frac_coords": [[0.000, 0.000, 0.000], [0.000, 0.500, 0.334], [0.000, 0.500, 0.666], [0.500, 0.000, 0.334], [0.500, 0.000, 0.666], [0.000, 0.000, 0.500], [0.500, 0.500, 0.198], [0.500, 0.500, 0.802]], "spacegroup": "P4/mmm, No. 123", "magnetic_moment_mub_per_cell": 0.000, "raw_formation_energy_ev_per_atom": -0.423}

{"formula": "RbMgSc2Bi", "functional": "PBE", "state": "relaxed", "lattice": [[5.175, 0.000, 0.000], [0.000, 5.175, 0.000], [0.000, 0.000, 6.092]], "species": ["Rb", "Mg", "Sc", "Sc", "Bi"], "frac_coords": [[0.000, 0.000, 0.000], [0.500, 0.500, 0.500], [0.000, 0.500, 0.000], [0.500, 0.000, 0.000], [0.000, 0.000, 0.500]], "spacegroup": "P4/mmm, No. 123", "magnetic_moment_mub_per_cell": 0.000, "e_form_mev_per_atom": 1347}

{"formula": "Rb3MgBi2Se6", "functional": "PBE", "state": "relaxed", "lattice": [[3.671, -6.356, 0.000], [3.671, 6.356, 0.000], [-2.449, 0.000, 8.061]], "species": ["Rb", "Rb", "Rb", "Mg", "Bi", "Bi", "Se", "Se", "Se", "Se", "Se", "Se"], "frac_coords": [[0.000, 0.000, 0.000], [0.328, 0.672, 0.000], [0.672, 0.328, 0.000], [0.500, 0.500, 0.500], [0.166, 0.834, 0.500], [0.834, 0.166, 0.500], [0.117, 0.435, 0.306], [0.247, 0.247, 0.696], [0.435, 0.117, 0.306], [0.565, 0.883, 0.694], [0.753, 0.753, 0.304], [0.883, 0.565, 0.694]], "spacegroup": "C2/m, No. 12", "magnetic_moment_mub_per_cell": 0.000, "raw_formation_energy_ev_per_atom": -0.829}

{"formula": "Rb2Mg4Sn3Bi", "functional": "PBE", "state": "relaxed", "lattice": [[4.939, 0.000, 0.000], [0.000, 4.939, 0.000], [0.000, 0.000, 12.861]], "species": ["Rb", "Rb", "Mg", "Mg", "Mg", "Mg", "Sn", "Sn", "Sn", "Bi"], "frac_coords": [[0.000, 0.500, 0.245], [0.500, 0.000, 0.755], [0.000, 0.000, 0.000], [0.000, 0.500, 0.646], [0.500, 0.000, 0.354], [0.500, 0.500, 0.000], [0.000, 0.500, 0.870], [0.500, 0.000, 0.130], [0.500, 0.500, 0.500], [0.000, 0.000, 0.500]], "spacegroup": "P-4m2, No. 115", "magnetic_moment_mub_per_cell": 0.000, "e_form_mev_per_atom": -202}

{"formula": "RbMgTlBi2", "functional": "PBE", "state": "relaxed", "lattice": [[-2.536, 2.536, 7.081], [2.536, -2.536, 7.081], [2.536, 2.536, -7.081]], "species": ["Rb", "Mg", "Tl", "Bi", "Bi"], "frac_coords": [[0.000, 0.000, 0.000], [0.250, 0.750, 0.500], [0.750, 0.250, 0.500], [0.378, 0.378, 0.000], [0.622, 0.622, 0.000]], "spacegroup": "I-4m2, No. 119", "magnetic_moment_mub_per_cell": 0.000, "e_form_mev_per_atom": -229}

Q: Which energy values were calculated for the entries above? A: -4.11 -2.86 -2.47 -3.59 -2.62 -2.77, in eV per atom.